1.
VASP calculation (GGA-PBE) on a relaxed structure of KNaCdPt.

Lattice parameters (Å, degrees): 4.8010 4.8010 6.4446 90.13 111.75 119.97
Fractional positions:
K 0.4031 0.0668 0.4699
Na 0.0009 0.8646 0.8654
Cd 0.4807 0.6050 0.0857
Pt 0.8075 0.2681 0.0755

Uncorrected energy = -10.04 eV per cell
Crystal system = monoclinic

***

2.
VASP calculation (GGA-PBE) on a relaxed structure of Eu2AgRh.

Lattice parameters (Å, degrees): 3.5532 3.5532 7.7508 90.00 90.00 90.00
Fractional positions:
Eu 0.0000 0.0000 0.7753
Eu 0.0000 0.0000 0.2247
Rh 0.5000 0.5000 0.0000
Ag 0.5000 0.5000 0.5000

Uncorrected energy = -32.15 eV per cell
Crystal system = tetragonal

***

3.
VASP calculation (GGA-PBE) on a relaxed structure of PuTi4Ir5.

Lattice parameters (Å, degrees): 2.9699 2.9699 18.0574 90.00 90.00 90.00
Fractional positions:
Pu 0.0000 0.0000 0.0000
Ti 0.0000 0.0000 0.2118
Ti 0.0000 0.0000 0.4037
Ti 0.0000 0.0000 0.5963
Ti 0.0000 0.0000 0.7882
Ir 0.5000 0.5000 0.1253
Ir 0.5000 0.5000 0.3075
Ir 0.5000 0.5000 0.5000
Ir 0.5000 0.5000 0.6925
Ir 0.5000 0.5000 0.8747

Uncorrected energy = -97.84 eV per cell
Crystal system = tetragonal

***

4.
VASP calculation (GGA-PBE) on a relaxed structure of GaSiHgOsRh.

Lattice parameters (Å, degrees): 2.9027 5.5029 5.9621 111.21 90.01 105.31
Fractional positions:
Os 0.2711 0.2995 0.7254
Si 0.8361 0.4297 0.4819
Rh 0.8902 0.5380 0.1482
Hg 0.5860 0.9370 0.9620
Ga 0.5711 0.9000 0.4458

Uncorrected formation energy = -0.024 eV per atom
Crystal system = triclinic

***

5.
VASP calculation (GGA-PBE) on a relaxed structure of Pa2SeI8.

Lattice parameters (Å, degrees): 6.1422 11.6592 11.6592 62.18 74.89 74.89
Fractional positions:
Pa 0.1417 0.8582 0.8582
Pa 0.8583 0.1418 0.1418
Se 0.0000 0.0000 0.0000
I 0.8626 0.8970 0.3786
I 0.1374 0.6214 0.1030
I 0.6382 0.8616 0.8616
I 0.3618 0.1384 0.1384
I 0.8626 0.3786 0.8970
I 0.1374 0.1030 0.6214
I 0.2935 0.7058 0.7058
I 0.7065 0.2942 0.2942

Uncorrected formation energy = -0.906 eV per atom
Crystal system = monoclinic

***

6.
VASP calculation (GGA-PBE) on a relaxed structure of ZnFeI6.

Lattice parameters (Å, degrees): 7.6347 7.2283 7.3976 102.47 104.94 121.90
Fractional positions:
Zn 0.5000 0.0000 0.0000
Fe 0.0000 0.0000 0.0000
I 0.9168 0.1635 0.2903
I 0.6265 0.8731 0.7097
I 0.3735 0.1269 0.2903
I 0.0832 0.8365 0.7097
I 0.2706 0.4901 0.0000
I 0.7294 0.5099 0.0000

Uncorrected formation energy = -0.122 eV per atom
Crystal system = monoclinic

***

7.
VASP calculation (GGA-PBE) on a relaxed structure of Pr6TeIr2I3.

Lattice parameters (Å, degrees): 7.6221 7.6221 8.4301 98.69 98.69 119.95
Fractional positions:
Pr 0.9345 0.5660 0.8069
Pr 0.6954 0.6954 0.1914
Pr 0.0655 0.4340 0.1931
Pr 0.5660 0.9345 0.8069
Pr 0.3046 0.3046 0.8086
Pr 0.4340 0.0655 0.1931
Te 0.0000 0.0000 0.0000
Ir 0.3327 0.6673 0.0000
Ir 0.6673 0.3327 0.0000
I 0.1595 0.8405 0.5000
I 0.8405 0.1595 0.5000
I 0.5000 0.5000 0.5000

Uncorrected formation energy = -1.037 eV per atom
Crystal system = monoclinic

***

8.
VASP calculation (GGA-PBE) on a relaxed structure of AcGa2Ir.

Lattice parameters (Å, degrees): 4.3069 4.3069 6.1432 69.48 69.48 60.00
Fractional positions:
Ac 0.5000 0.5000 0.5000
Ir 0.0000 0.0000 0.0000
Ga 0.7078 0.7078 0.8766
Ga 0.2922 0.2922 0.1234

Uncorrected energy = -21.48 eV per cell
Crystal system = trigonal

***

9.
VASP calculation (GGA-PBE) on a relaxed structure of SbTe2RuRh.

Lattice parameters (Å, degrees): 5.2062 5.2062 4.9562 90.00 90.00 90.00
Fractional positions:
Sb 0.0000 0.0000 0.5000
Te 0.0000 0.5000 0.0000
Te 0.5000 0.0000 0.0000
Rh 0.0000 0.0000 0.0000
Ru 0.5000 0.5000 0.5000

Uncorrected formation energy = 0.942 eV per atom
Crystal system = tetragonal

***

10.
VASP calculation (GGA-PBE) on a relaxed structure of Er2BiIr.

Lattice parameters (Å, degrees): 3.4436 3.4436 8.2883 90.00 90.00 90.00
Fractional positions:
Ir 0.5000 0.5000 0.0000
Bi 0.5000 0.5000 0.5000
Er 0.0000 0.0000 0.8021
Er 0.0000 0.0000 0.1979

Uncorrected energy = -24.81 eV per cell
Crystal system = tetragonal

***

11.
VASP calculation (GGA-PBE) on a relaxed structure of LaSc2Sb.

Lattice parameters (Å, degrees): 5.0062 3.6053 6.2204 77.01 90.00 90.00
Fractional positions:
La 0.5000 0.2500 0.2500
Sb 0.5000 0.7500 0.7500
Sc 0.0000 0.9021 0.9738
Sc 0.0000 0.5979 0.5262

Uncorrected formation energy = -0.360 eV per atom
Crystal system = monoclinic

***

12.
VASP calculation (GGA-PBE) on a relaxed structure of SrSc2Hg2.

Lattice parameters (Å, degrees): 4.5052 4.5052 7.6137 72.79 72.79 90.00
Fractional positions:
Sc 0.7500 0.2500 0.5000
Sc 0.2500 0.7500 0.5000
Sr 0.0000 0.0000 0.0000
Hg 0.3924 0.3924 0.2152
Hg 0.6076 0.6076 0.7848

Uncorrected energy = -16.16 eV per cell
Crystal system = tetragonal

***

13.
VASP calculation (GGA-PBE) on a relaxed structure of BiAsF2.

Lattice parameters (Å, degrees): 4.5232 4.5232 4.5232 60.00 60.00 60.00
Fractional positions:
As 0.0000 0.0000 0.0000
Bi 0.5000 0.5000 0.5000
F 0.2500 0.2500 0.2500
F 0.7500 0.7500 0.7500

Uncorrected formation energy = -0.772 eV per atom
Crystal system = cubic

***

14.
VASP calculation (GGA-PBE) on a relaxed structure of Mg12Cd6Pd.

Lattice parameters (Å, degrees): 7.5997 7.5997 7.5997 80.31 80.31 80.31
Fractional positions:
Mg 0.5185 0.1960 0.5185
Mg 0.1960 0.5185 0.5185
Mg 0.5185 0.5185 0.1960
Mg 0.4815 0.8040 0.4815
Mg 0.8040 0.4815 0.4815
Mg 0.4815 0.4815 0.8040
Mg 0.1468 0.7809 0.7809
Mg 0.2191 0.8532 0.2191
Mg 0.2191 0.2191 0.8532
Mg 0.8532 0.2191 0.2191
Mg 0.7809 0.1468 0.7809
Mg 0.7809 0.7809 0.1468
Cd 0.1365 0.1364 0.4891
Cd 0.8636 0.5109 0.8635
Cd 0.5109 0.8635 0.8636
Cd 0.8635 0.8636 0.5109
Cd 0.1364 0.4891 0.1365
Cd 0.4891 0.1365 0.1364
Pd 0.0000 0.0000 0.0000

Uncorrected energy = -31.40 eV per cell
Crystal system = trigonal

***

15.
VASP calculation (GGA-PBE) on a relaxed structure of URuS2.

Lattice parameters (Å, degrees): 3.9147 3.9147 5.6438 69.71 69.71 60.00
Fractional positions:
Ru 0.5000 0.5000 0.5000
S 0.2380 0.2380 0.2860
S 0.7620 0.7620 0.7140
U 0.0000 0.0000 0.0000

Uncorrected formation energy = -0.726 eV per atom
Crystal system = trigonal

***

16.
VASP calculation (GGA-PBE) on a relaxed structure of NaVC2.

Lattice parameters (Å, degrees): 4.9552 4.9552 6.5133 67.64 67.64 90.00
Fractional positions:
Na 0.5000 0.5000 0.0000
Na 0.2500 0.7500 0.5000
C 0.7987 0.1250 0.2500
C 0.9513 0.6250 0.2500
C 0.3750 0.2013 0.7500
C 0.8750 0.0487 0.7500
V 0.0000 0.0000 0.0000
V 0.7500 0.2500 0.5000

Uncorrected energy = -50.75 eV per cell
Crystal system = tetragonal

***

17.
VASP calculation (GGA-PBE) on a relaxed structure of LiPbAu2.

Lattice parameters (Å, degrees): 4.1649 4.1649 10.2516 78.28 78.28 90.00
Fractional positions:
Pb 0.0000 0.0000 0.0000
Pb 0.7500 0.2500 0.5000
Au 0.6055 0.1250 0.2500
Au 0.1445 0.6250 0.2500
Au 0.3750 0.3945 0.7500
Au 0.8750 0.8555 0.7500
Li 0.5000 0.5000 0.0000
Li 0.2500 0.7500 0.5000

Uncorrected energy = -25.03 eV per cell
Crystal system = tetragonal

***

18.
VASP calculation (GGA-PBE) on a relaxed structure of Ba2Si2Pd.

Lattice parameters (Å, degrees): 4.6976 4.4417 6.9194 108.72 90.00 90.00
Fractional positions:
Ba 0.0000 0.6806 0.3612
Ba 0.0000 0.9329 0.8658
Si 0.5000 0.3155 0.6309
Si 0.5000 0.4983 0.9965
Pd 0.5000 0.1148 0.2297

Uncorrected formation energy = -0.384 eV per atom
Crystal system = orthorhombic

***

19.
VASP calculation (GGA-PBE) on a relaxed structure of NaGa2TeI.

Lattice parameters (Å, degrees): 5.5030 9.7965 5.5030 90.00 90.00 90.00
Fractional positions:
I 0.0000 0.5000 0.0000
Na 0.5000 0.5000 0.5000
Te 0.0000 0.0000 0.0000
Ga 0.0000 0.0000 0.5000
Ga 0.5000 0.0000 0.0000

Uncorrected formation energy = 0.048 eV per atom
Crystal system = tetragonal

***

20.
VASP calculation (GGA-PBE) on a relaxed structure of Y4HfZr3N8.

Lattice parameters (Å, degrees): 6.6752 6.7273 6.6750 119.75 120.00 90.00
Fractional positions:
Y 0.5000 0.0000 0.0000
Y 0.5000 0.0000 0.5000
Y 0.0000 0.0000 0.0000
Y 0.0000 0.0000 0.5000
Hf 0.0000 0.5000 0.0000
Zr 0.5000 0.5000 0.0000
Zr 0.5000 0.5000 0.5000
Zr 0.0000 0.5000 0.5000
N 0.2408 0.7294 0.9886
N 0.2408 0.7294 0.4816
N 0.2559 0.2678 0.5118
N 0.7478 0.7294 0.9886
N 0.2522 0.2706 0.0114
N 0.7441 0.7322 0.4882
N 0.7592 0.2706 0.5184
N 0.7592 0.2706 0.0114

Uncorrected formation energy = -1.729 eV per atom
Crystal system = trigonal

***

21.
VASP calculation (GGA-PBE) on a relaxed structure of Pm2MgSeO8.

Lattice parameters (Å, degrees): 5.3987 5.3987 6.0787 90.00 90.00 120.00
Fractional positions:
Pm 0.6667 0.3333 0.1410
Pm 0.3333 0.6667 0.8590
Mg 0.0000 0.0000 0.5000
Se 0.0000 0.0000 0.0000
O 0.8438 0.6875 0.8239
O 0.3125 0.1562 0.8239
O 0.8438 0.1562 0.8239
O 0.1562 0.3125 0.1761
O 0.6875 0.8438 0.1761
O 0.1562 0.8438 0.1761
O 0.6667 0.3333 0.4984
O 0.3333 0.6667 0.5016

Uncorrected formation energy = -1.596 eV per atom
Crystal system = trigonal

***

22.
VASP calculation (GGA-PBE) on a relaxed structure of CrFe2Sb.

Lattice parameters (Å, degrees): 3.2438 3.2424 5.4699 90.00 90.00 90.00
Fractional positions:
Cr 0.5000 0.5000 0.7683
Fe 0.0000 0.0000 0.0054
Fe 0.5000 0.5000 0.2245
Sb 0.0000 0.0000 0.5018

Uncorrected formation energy = 0.301 eV per atom
Crystal system = tetragonal

***

23.
VASP calculation (GGA-PBE) on a relaxed structure of SrZn2Sb.

Lattice parameters (Å, degrees): 3.8979 3.8979 6.7232 90.00 90.00 90.00
Fractional positions:
Sb 0.5000 0.5000 0.2500
Sr 0.5000 0.5000 0.7500
Zn 0.0000 0.0000 0.0494
Zn 0.0000 0.0000 0.4506

Uncorrected formation energy = -0.162 eV per atom
Crystal system = tetragonal

***

24.
VASP calculation (GGA-PBE) on a relaxed structure of ZrTaCr2.

Lattice parameters (Å, degrees): 2.8475 2.8475 8.4413 90.00 90.00 110.97
Fractional positions:
Cr 0.0000 0.0000 0.0115
Cr 0.0000 0.0000 0.4885
Ta 0.5000 0.5000 0.2500
Zr 0.5000 0.5000 0.7500

Uncorrected energy = -38.47 eV per cell
Crystal system = orthorhombic

***

25.
VASP calculation (GGA-PBE) on a relaxed structure of AgPdSe3.

Lattice parameters (Å, degrees): 7.0136 7.1110 5.9801 75.73 59.77 60.47
Fractional positions:
Ag 0.3750 0.4999 0.7905
Ag 0.6250 0.5001 0.2095
Pd 0.1676 0.1649 0.5000
Pd 0.8324 0.8351 0.5000
Se 0.0166 0.5004 0.7373
Se 0.7659 0.1251 0.7590
Se 0.6092 0.1250 0.2415
Se 0.2341 0.8749 0.2410
Se 0.9834 0.4996 0.2627
Se 0.3908 0.8750 0.7585

Uncorrected formation energy = -0.155 eV per atom
Crystal system = triclinic

***

26.
VASP calculation (GGA-PBE) on a relaxed structure of PtS2IN.

Lattice parameters (Å, degrees): 5.1421 5.1421 3.8246 90.00 90.00 90.00
Fractional positions:
I 0.0000 0.0000 0.0000
S 0.0000 0.5000 0.0000
S 0.5000 0.0000 0.0000
Pt 0.5000 0.5000 0.5000
N 0.0000 0.0000 0.5000

Uncorrected formation energy = 1.804 eV per atom
Crystal system = tetragonal